Compound: CeErCl6
Source: Alexandria via LeMat-Bulk
Functional: PBE
Structure: relaxed

The space group is R-3 (No. 148, hexagonal axes) and the conventional cell measures 6.8408, 6.8408 and 18.6968 Å, with angles of 90.00, 90.00 and 120.00 degrees. The distinct sites, in fractional coordinates, are Ce at (0.0000, 0.0000, 0.0000), Er at (0.0000, 0.0000, 0.5000) and Cl at (0.0110, 0.6508, 0.2476).

As for the volume: 31.573 A^3/atom. The value obtained for the density of states at the Fermi level is 1.0531 states/eV per atom. As for the formation energy without anion corrections: -2.212 eV per atom. For the total moment, the calculation gives 3.00 μB/cell. The calculated total energy is -117.81 eV per cell.


Compound: Zr2ZnIr
Source: Alexandria via LeMat-Bulk
Functional: PBE
Structure: relaxed

The space group is R-3m (No. 166, hexagonal axes) and the conventional cell measures 3.5496, 3.5496 and 22.6870 Å, with angles of 90.00, 90.00 and 120.00 degrees. The distinct sites, in fractional coordinates, are Zr at (0.0000, 0.0000, 0.2428), Zn at (0.0000, 0.0000, 0.0000) and Ir at (0.0000, 0.0000, 0.5000).

As for the volume: 20.630 A^3/atom. The value obtained for the density of states at the Fermi level is 0.6648 states/eV per atom. For the total moment, the calculation gives 0.00 μB/cell. The calculated total energy is -84.81 eV per cell. Its formation energy is -0.26 eV/atom.


Compound: Nd2Sm2Ho2Tl
Source: Alexandria via LeMat-Bulk
Functional: PBE
Structure: relaxed

The space group is C2/m (No. 12) and the conventional cell measures 17.304, 3.493 and 8.369 Å, with angles of 90.00, 116.52 and 90.00 degrees. The distinct sites, in fractional coordinates, are Nd at (0.142, 0.000, 0.374), Sm at (0.240, 0.000, 0.817), Ho at (0.067, 0.000, 0.894) and Tl at (0.000, 0.500, 0.500).

As for the volume: 32.331 A^3/atom. The value obtained for the density of states at the Fermi level is 1.2074 states/eV per atom. For the total moment, the calculation gives 0.00 μB/cell. The calculated total energy is -60.25 eV per cell. Its formation energy is 0.05 eV/atom.